Below is Pr3Ga4 after structural relaxation, with properties calculated at the PBE level.

Summary:
* total magnetic moment: 0.0 μB/f.u.
* uncorrected energy: -0.1621 hartree per atom
* calculated density: 6.554 g cm⁻³
* space-group type: Immm

Geometry as POSCAR:
```
Pr3Ga4
1.0
8.497 -2.611 4.495
5.085 0.462 8.553
-8.002 -1.619 -5.706
Pr Ga
3 4
Cartesian
11.083 -1.753 10.647
2.499 -0.395 2.401
-1.459 -0.578 1.423
8.707 -1.377 8.365
4.444 -1.512 7.093
4.875 -0.771 4.683
1.136 -2.255 0.248
```